# Pr3Sc2Fe3O12 | Alexandria | GGA+U | relaxed
# Total energy = -1267.04 eV per cell
data_Pr3Sc2Fe3O12
_chemical_formula_sum 'Pr24 Sc16 Fe24 O96'
_space_group_name_H-M_alt 'I a -3 d'
_space_group_IT_number 230
_space_group_name_Hall '-I 4bd 2c 3'
_cell_length_a 12.953
_cell_length_b 12.953
_cell_length_c 12.953
_cell_angle_alpha 90.00
_cell_angle_beta 90.00
_cell_angle_gamma 90.00
loop_
_atom_site_label
_atom_site_type_symbol
_atom_site_fract_x
_atom_site_fract_y
_atom_site_fract_z
_atom_site_occupancy
Pr1 Pr 0.000 0.250 0.125 1
Sc1 Sc 0.000 0.000 0.000 1
Fe1 Fe 0.000 0.250 0.375 1
O1 O 0.029 0.055 0.652 1